No. 1
VASP calculation (PBE) on an optimized crystal structure of In12Sn3Bi5.

Cell: 15.460 15.460 15.460 Å, 109.47 109.47 109.47°
Atoms (fractional coordinates):
Sn 0.750 0.375 0.125
Sn 0.875 0.750 0.125
Sn 0.375 0.750 0.625
Sn 0.250 0.125 0.375
Sn 0.875 0.125 0.250
Sn 0.375 0.625 0.250
Sn 0.625 0.375 0.750
Sn 0.125 0.875 0.750
Sn 0.750 0.875 0.625
Sn 0.625 0.250 0.375
Sn 0.125 0.250 0.875
Sn 0.250 0.625 0.875
Bi 0.125 0.375 0.250
Bi 0.000 0.500 0.000
Bi 0.000 0.000 0.000
Bi 0.375 0.250 0.125
Bi 0.500 0.000 0.500
Bi 0.500 0.500 0.000
Bi 0.125 0.750 0.375
Bi 0.750 0.125 0.875
Bi 0.750 0.625 0.375
Bi 0.375 0.125 0.750
Bi 0.625 0.875 0.250
Bi 0.500 0.500 0.500
Bi 0.500 0.000 0.000
Bi 0.000 0.000 0.500
Bi 0.250 0.375 0.625
Bi 0.250 0.875 0.125
Bi 0.000 0.500 0.500
Bi 0.875 0.250 0.625
Bi 0.625 0.750 0.875
Bi 0.875 0.625 0.750
In 0.734 0.142 0.067
In 0.332 0.567 0.424
In 0.933 0.358 0.266
In 0.567 0.234 0.142
In 0.592 0.734 0.668
In 0.933 0.576 0.168
In 0.332 0.766 0.408
In 0.076 0.908 0.142
In 0.576 0.933 0.668
In 0.734 0.592 0.168
In 0.766 0.433 0.358
In 0.832 0.924 0.067
In 0.142 0.734 0.567
In 0.358 0.424 0.092
In 0.092 0.924 0.358
In 0.408 0.142 0.576
In 0.092 0.168 0.234
In 0.433 0.668 0.076
In 0.832 0.908 0.266
In 0.142 0.408 0.076
In 0.358 0.933 0.766
In 0.576 0.642 0.408
In 0.924 0.832 0.567
In 0.766 0.332 0.908
In 0.424 0.358 0.592
In 0.076 0.168 0.433
In 0.234 0.668 0.092
In 0.168 0.092 0.734
In 0.642 0.067 0.234
In 0.858 0.592 0.924
In 0.567 0.332 0.924
In 0.592 0.858 0.424
In 0.908 0.832 0.766
In 0.908 0.076 0.642
In 0.858 0.266 0.433
In 0.168 0.076 0.933
In 0.642 0.576 0.908
In 0.424 0.067 0.332
In 0.266 0.408 0.832
In 0.234 0.567 0.642
In 0.924 0.092 0.858
In 0.668 0.234 0.592
In 0.433 0.766 0.858
In 0.067 0.424 0.832
In 0.408 0.266 0.332
In 0.067 0.642 0.734
In 0.668 0.433 0.576
In 0.266 0.858 0.933

Computed properties:
symmetry	Ia-3d (230)
electronic total energy	-247.08	eV/cell
mass density	6.5	g/cm3
total magnetization	0.000	μB/cell
energy of formation from the pure elements	125	meV/atom

---

No. 2
VASP calculation (PBE) on an optimized crystal structure of TlSnHgGe.

Cell: 5.262 5.262 5.262 Å, 60.00 60.00 60.00°
Atoms (fractional coordinates):
Tl 0.750 0.750 0.750
Ge 0.000 0.000 0.000
Hg 0.500 0.500 0.500
Sn 0.250 0.250 0.250

Computed properties:
symmetry	F-43m (216)
electronic total energy	-10.68	eV/cell
mass density	9.6	g/cm3
total magnetization	0.000	μB/cell
energy of formation from the pure elements	152	meV/atom

---

No. 3
VASP calculation (PBE) on an optimized crystal structure of Li2ZnPb.

Cell: 6.079 9.663 7.090 Å, 133.95 90.00 90.00°
Atoms (fractional coordinates):
Li 0.761 0.220 0.177
Li 0.261 0.280 0.823
Li 0.239 0.780 0.823
Li 0.739 0.720 0.177
Li 0.761 0.779 0.822
Li 0.261 0.721 0.178
Li 0.239 0.221 0.178
Li 0.739 0.279 0.822
Zn 0.500 0.531 0.339
Zn 0.000 0.969 0.661
Zn 0.500 0.469 0.661
Zn 0.000 0.031 0.339
Pb 0.500 0.045 0.311
Pb 0.000 0.455 0.689
Pb 0.500 0.955 0.689
Pb 0.000 0.545 0.311

Computed properties:
symmetry	C2/m (12)
electronic total energy	-38.52	eV/cell
mass density	6.3	g/cm3
total magnetization	0.000	μB/cell
energy of formation from the pure elements	-205	meV/atom